The following is a DFT calculation (PBE) of a relaxed structure of RbZrAl.

Results
spin magnetization	0.00	μB/f.u.
density of states at the Fermi level	13.54	states/eV/cell

abc: 5.383 5.261 14.447
angles: 90.00 90.00 90.00
Space group Pnma (No. 62)
Inequivalent atoms, fractional coordinates:
Rb 0.250 0.250 0.033 (multiplicity 4)
Zr 0.001 0.250 0.750 (multiplicity 4)
Al 0.249 0.250 0.282 (multiplicity 4)

***

The following is a DFT calculation (PBE) of a relaxed structure of RbZrAl.

Results
spin magnetization	0.00	μB/f.u.
density of states at the Fermi level	17.67	states/eV/cell

abc: 14.264 5.515 5.271
angles: 90.00 90.00 90.00
Space group Pnma (No. 62)
Inequivalent atoms, fractional coordinates:
Rb 0.237 0.250 0.023 (multiplicity 4)
Zr 0.005 0.250 0.500 (multiplicity 4)
Al 0.000 0.000 0.000 (multiplicity 4)

***

The following is a DFT calculation (PBE) of a relaxed structure of RbZr3Al.

Results
spin magnetization	0.00	μB/f.u.
density of states at the Fermi level	10.77	states/eV/cell

abc: 5.009 5.009 5.009
angles: 90.00 90.00 90.00
Space group Pm-3m (No. 221)
Inequivalent atoms, fractional coordinates:
Rb 0.000 0.000 0.000 (multiplicity 1)
Zr 0.000 0.000 0.500 (multiplicity 3)
Al 0.500 0.500 0.500 (multiplicity 1)

***

The following is a DFT calculation (PBE) of a relaxed structure of AlRe.

Results
spin magnetization	0.00	μB/f.u.
density of states at the Fermi level	7.16	states/eV/cell

abc: 7.9118 7.9118 4.3085
angles: 90.00 90.00 120.00
Space group P6_3/mmc (No. 194)
Inequivalent atoms, fractional coordinates:
Al 0.2060 0.4121 0.2500 (multiplicity 6)
Re 0.1103 0.5552 0.7500 (multiplicity 6)

***

The following is a DFT calculation (PBE) of a relaxed structure of Al2Re.

Results
spin magnetization	0.00	μB/f.u.
density of states at the Fermi level	22.19	states/eV/cell

abc: 6.987 6.987 6.987
angles: 90.00 90.00 90.00
Space group Fd-3m (No. 227, origin choice 2)
Inequivalent atoms, fractional coordinates:
Al 0.000 0.000 0.000 (multiplicity 16)
Re 0.125 0.125 0.625 (multiplicity 8)

***

The following is a DFT calculation (PBE) of a relaxed structure of AlRe.

Results
spin magnetization	0.30	μB/f.u.
density of states at the Fermi level	23.66	states/eV/cell

abc: 7.887 7.887 7.887
angles: 90.00 90.00 90.00
Space group I-43m (No. 217)
Inequivalent atoms, fractional coordinates:
Al 0.198 0.198 0.198 (multiplicity 8)
Re 0.114 0.114 0.886 (multiplicity 8)

***

The following is a DFT calculation (PBE) of a relaxed structure of AlRe.

Results
spin magnetization	2.00	μB/f.u.
density of states at the Fermi level	8.83	states/eV/cell

abc: 7.055 7.055 7.055
angles: 90.00 90.00 90.00
Space group Pm-3n (No. 223)
Inequivalent atoms, fractional coordinates:
Al 0.000 0.250 0.500 (multiplicity 6)
Re 0.000 0.500 0.250 (multiplicity 6)

***

The following is a DFT calculation (PBE) of a relaxed structure of Al7Re6.

Results
spin magnetization	0.00	μB/f.u.
density of states at the Fermi level	17.89	states/eV/cell

abc: 4.9022 4.9022 26.7111
angles: 90.00 90.00 120.00
Space group R-3m (No. 166, hexagonal axes)
Inequivalent atoms, fractional coordinates:
Al 0.0000 0.0000 0.0000 (multiplicity 3)
Al 0.0026 0.5013 0.4124 (multiplicity 18)
Re 0.0000 0.0000 0.1676 (multiplicity 6)
Re 0.0000 0.0000 0.3469 (multiplicity 6)
Re 0.0000 0.0000 0.4546 (multiplicity 6)

***

Total energy / eV per atom: -4.08; -4.04; -4.08; -8.05; -6.45; -6.69; -5.97; -7.70
DFT formation energy / eV per atom: 0.342; 0.384; 1.989; 0.046; 0.192; 1.407; 2.124; 0.056
Theoretical density / g cm⁻³: 3.31; 3.26; 5.10; 9.09; 9.36; 5.77; 6.05; 11.70